Record 1
VASP calculation (PBE-GGA) on crystalline Tm3BiH3 at its relaxed geometry.

Unit cell a=6.165 b=6.165 c=6.165 alpha=90.00 beta=90.00 gamma=90.00
Space group Pm-3n (No. 223)
Inequivalent atoms, fractional coordinates:
Tm  0.000  0.250  0.500 (multiplicity 6)
Bi  0.000  0.000  0.000 (multiplicity 2)
H  0.000  0.500  0.250 (multiplicity 6)

Record 2
VASP calculation (PBE-GGA) on crystalline Na2CaPd2O6 at its relaxed geometry.

E_form (uncorrected) (meV/atom): -1242

Unit cell a=5.396 b=9.628 c=5.922 alpha=90.00 beta=109.10 gamma=90.00
Space group C2/m (No. 12)
Inequivalent atoms, fractional coordinates:
Na  0.000  0.165  0.000 (multiplicity 4)
Ca  0.000  0.000  0.500 (multiplicity 2)
Pd  0.000  0.335  0.500 (multiplicity 4)
O  0.209  0.500  0.704 (multiplicity 4)
O  0.247  0.186  0.699 (multiplicity 8)

Record 3
VASP calculation (PBE-GGA) on crystalline LaZrTl2 at its relaxed geometry.

Energy relative to the elements (eV per atom): 0.037

Unit cell a=3.627 b=4.531 c=6.868 alpha=90.00 beta=90.00 gamma=90.00
Space group Pmm2 (No. 25)
Inequivalent atoms, fractional coordinates:
La  0.000  0.000  0.000 (multiplicity 1)
Zr  0.500  0.500  0.712 (multiplicity 1)
Tl  0.000  0.000  0.525 (multiplicity 1)
Tl  0.500  0.500  0.258 (multiplicity 1)

Record 4
VASP calculation (PBE-GGA) on crystalline HgCO3 at its relaxed geometry.

E_form (uncorrected) (meV/atom): 2102

Unit cell a=4.169 b=4.169 c=4.169 alpha=90.00 beta=90.00 gamma=90.00
Space group Pm-3m (No. 221)
Inequivalent atoms, fractional coordinates:
Hg  0.000  0.000  0.000 (multiplicity 1)
C  0.500  0.500  0.500 (multiplicity 1)
O  0.000  0.000  0.500 (multiplicity 3)

Record 5
VASP calculation (PBE-GGA) on crystalline AcCe2ThAs4 at its relaxed geometry.

Energy relative to the elements (eV per atom): -1.421

Unit cell a=7.460 b=4.311 c=7.485 alpha=90.00 beta=109.44 gamma=90.00
Space group P2/m (No. 10)
Inequivalent atoms, fractional coordinates:
Ac  0.000  0.000  0.000 (multiplicity 1)
Ce  0.500  0.000  0.500 (multiplicity 1)
Ce  0.500  0.500  0.000 (multiplicity 1)
Th  0.000  0.500  0.500 (multiplicity 1)
As  0.256  0.000  0.743 (multiplicity 2)
As  0.263  0.500  0.265 (multiplicity 2)

Record 6
VASP calculation (PBE-GGA) on crystalline NaSbAsO6 at its relaxed geometry.

E_form (uncorrected) (meV/atom): -1227

Unit cell a=5.1513 b=5.1513 c=10.3330 alpha=90.00 beta=90.00 gamma=120.00
Space group P-31c (No. 163)
Inequivalent atoms, fractional coordinates:
Na  0.0000  0.0000  0.0000 (multiplicity 2)
Sb  0.3333  0.6667  0.2500 (multiplicity 2)
As  0.3333  0.6667  0.7500 (multiplicity 2)
O  0.0225  0.3812  0.6474 (multiplicity 12)

Volume / Å³ per cell: 234.3; 290.8; 112.9; 72.4; 227.0; 237.5
Raw total energy / eV/atom: -4.448; -5.313; -4.515; -2.778; -6.670; -5.654